1.
19
Lattice="7.9476 -5.1001 0.0000 7.9476 5.1001 0.0000 -0.1895 0.0000 7.9956" Properties=species:S:1:pos:R:3 comment="Pm12Dy5Y2, relaxed, DFT PBE" de_polymorph_mev_per_atom=31 pbc="T T T"
Pm 0.7780 0.0000 1.6699
Pm 4.7658 2.3547 5.6409
Pm 6.2455 2.7903 0.8950
Pm 9.4601 2.7903 7.1006
Pm 5.4096 0.0000 3.0248
Pm 10.9398 2.3547 2.3547
Pm 4.7658 -2.3547 5.6409
Pm 10.2960 0.0000 4.9708
Pm 6.2455 -2.7903 0.8950
Pm 9.4601 -2.7903 7.1006
Pm 10.9398 -2.3547 2.3547
Pm 14.9277 0.0000 6.3257
Dy 2.2403 0.0000 4.6639
Dy 4.0291 0.0000 0.0802
Dy 7.9476 0.0000 0.0000
Dy 11.6766 0.0000 7.9154
Dy 13.4654 0.0000 3.3317
Y 7.8528 2.3984 3.9978
Y 7.8528 -2.3984 3.9978

2.
5
Lattice="3.8928 0.0000 0.0000 0.0000 3.8928 0.0000 0.0000 0.0000 5.2044" Properties=species:S:1:pos:R:3 comment="TiPPbO2, relaxed, DFT PBE" formation_energy_uncorrected_kj_per_mol_atoms=-136.5 pbc="T T T"
Ti 0.0000 0.0000 0.0000
P 0.0000 0.0000 2.6022
Pb 1.9464 1.9464 2.6022
O 0.0000 1.9464 0.0000
O 1.9464 0.0000 0.0000

3.
15
Lattice="6.5132 0.0000 0.0000 -3.2566 5.6406 0.0000 0.0000 0.0000 7.9891" Properties=species:S:1:pos:R:3 comment="Cs3Ca2HgF9, relaxed, DFT PBE" formation_energy_uncorrected_kj_per_mol_atoms=-288.2 pbc="T T T"
Cs 0.0000 0.0000 0.0000
Cs 0.0000 3.7604 5.2818
Cs 3.2566 1.8802 2.7073
Ca 0.0000 3.7604 1.2827
Ca 3.2566 1.8802 6.7065
Hg 0.0000 0.0000 3.9946
F -1.6283 2.8203 0.0000
F 0.0000 1.9144 2.6266
F -1.5987 4.6834 2.6266
F 1.6579 0.9572 5.3625
F 3.2566 0.0000 0.0000
F 1.6283 2.8203 0.0000
F 1.5987 4.6834 2.6266
F 4.8553 0.9572 5.3625
F 3.2566 3.7262 5.3625